No. 1
Compound: PmZrSb
Source: the Open Quantum Materials Database
Functional: GGA-PBE
Structure: optimized geometry

magnetic moment	3.6	μB/f.u.
excess energy over the best structure of this formula in the dataset	737	meV/atom
calculated density	6.006	Mg/m³
uncorrected energy	-5.4064	eV per atom

```
data_PmZrSb
_chemical_formula_sum 'Pm4 Zr4 Sb4'
_cell_length_a 7.343
_cell_length_b 7.343
_cell_length_c 7.343
_cell_angle_alpha 90.00
_cell_angle_beta 90.00
_cell_angle_gamma 90.00
_symmetry_space_group_name_H-M 'F -4 3 m'
_symmetry_Int_Tables_number 216
_symmetry_space_group_name_Hall 'F -4 2 3'
loop_
_atom_site_label
_atom_site_type_symbol
_atom_site_fract_x
_atom_site_fract_y
_atom_site_fract_z
_atom_site_occupancy
Pm1 Pm 0.000 0.000 0.000 1
Zr1 Zr 0.250 0.250 0.250 1
Sb1 Sb 0.250 0.250 0.750 1
```

No. 2
Compound: AcTaSi
Source: the Open Quantum Materials Database
Functional: GGA-PBE
Structure: optimized geometry

magnetic moment	0.4	μB/f.u.
excess energy over the best structure of this formula in the dataset	0	meV/atom
calculated density	9.263	Mg/m³
uncorrected energy	-6.6467	eV per atom

```
data_AcTaSi
_chemical_formula_sum 'Ac4 Ta4 Si4'
_cell_length_a 6.787
_cell_length_b 6.787
_cell_length_c 6.787
_cell_angle_alpha 90.00
_cell_angle_beta 90.00
_cell_angle_gamma 90.00
_symmetry_space_group_name_H-M 'F -4 3 m'
_symmetry_Int_Tables_number 216
_symmetry_space_group_name_Hall 'F -4 2 3'
loop_
_atom_site_label
_atom_site_type_symbol
_atom_site_fract_x
_atom_site_fract_y
_atom_site_fract_z
_atom_site_occupancy
Ac1 Ac 0.000 0.000 0.000 1
Ta1 Ta 0.000 0.000 0.500 1
Si1 Si 0.250 0.250 0.250 1
```

No. 3
Compound: Hf2Ta
Source: the Open Quantum Materials Database
Functional: GGA-PBE
Structure: optimized geometry

magnetic moment	0.0	μB/f.u.
formation enthalpy at 0 K	0.13	eV/atom
excess energy over the best structure of this formula in the dataset	0	meV/atom
calculated density	14.249	Mg/m³
uncorrected energy	-10.4552	eV per atom

```
data_Hf2Ta
_chemical_formula_sum 'Hf8 Ta4'
_cell_length_a 11.525
_cell_length_b 3.002
_cell_length_c 8.555
_cell_angle_alpha 90.00
_cell_angle_beta 122.09
_cell_angle_gamma 90.00
_symmetry_space_group_name_H-M 'C 1 2/m 1'
_symmetry_Int_Tables_number 12
loop_
_symmetry_equiv_pos_as_xyz
'x,y,z'
'-x,-y,-z'
'-x,y,-z'
'x,-y,z'
'x+1/2,y+1/2,z'
'-x+1/2,-y+1/2,-z'
'-x+1/2,y+1/2,-z'
'x+1/2,-y+1/2,z'
loop_
_atom_site_label
_atom_site_type_symbol
_atom_site_fract_x
_atom_site_fract_y
_atom_site_fract_z
_atom_site_occupancy
Hf1 Hf 0.115 0.000 0.334 1
Hf2 Hf 0.135 0.500 0.016 1
Ta1 Ta 0.129 0.500 0.664 1
```

No. 4
Compound: LaNpSb
Source: the Open Quantum Materials Database
Functional: GGA-PBE
Structure: optimized geometry

magnetic moment	6.6	μB/f.u.
calculated density	8.225	Mg/m³
uncorrected energy	-7.0551	eV per atom

```
data_LaNpSb
_chemical_formula_sum 'La4 Np4 Sb4'
_cell_length_a 7.380
_cell_length_b 7.380
_cell_length_c 7.380
_cell_angle_alpha 90.00
_cell_angle_beta 90.00
_cell_angle_gamma 90.00
_symmetry_space_group_name_H-M 'F -4 3 m'
_symmetry_Int_Tables_number 216
_symmetry_space_group_name_Hall 'F -4 2 3'
loop_
_atom_site_label
_atom_site_type_symbol
_atom_site_fract_x
_atom_site_fract_y
_atom_site_fract_z
_atom_site_occupancy
La1 La 0.000 0.000 0.000 1
Np1 Np 0.250 0.250 0.250 1
Sb1 Sb 0.000 0.000 0.500 1
```

No. 5
Compound: Y2InIr
Source: the Open Quantum Materials Database
Functional: GGA-PBE
Structure: optimized geometry

magnetic moment	0.0	μB/f.u.
calculated density	9.267	Mg/m³
uncorrected energy	-6.5518	eV per atom

```
data_Y2InIr
_chemical_formula_sum 'Y8 In4 Ir4'
_cell_length_a 7.031
_cell_length_b 7.031
_cell_length_c 7.031
_cell_angle_alpha 90.00
_cell_angle_beta 90.00
_cell_angle_gamma 90.00
_symmetry_space_group_name_H-M 'F -4 3 m'
_symmetry_Int_Tables_number 216
_symmetry_space_group_name_Hall 'F -4 2 3'
loop_
_atom_site_label
_atom_site_type_symbol
_atom_site_fract_x
_atom_site_fract_y
_atom_site_fract_z
_atom_site_occupancy
Y1 Y 0.000 0.000 0.000 1
Y2 Y 0.250 0.250 0.250 1
In1 In 0.000 0.000 0.500 1
Ir1 Ir 0.250 0.250 0.750 1
```

No. 6
Compound: Rb2HgS2
Source: the Open Quantum Materials Database
Functional: GGA-PBE
Structure: optimized geometry

calculated density	3.443	Mg/m³
uncorrected energy	-2.9138	eV per atom

```
data_Rb2HgS2
_chemical_formula_sum 'Rb8 Hg4 S8'
_cell_length_a 16.302
_cell_length_b 6.689
_cell_length_c 9.281
_cell_angle_alpha 90.00
_cell_angle_beta 123.86
_cell_angle_gamma 90.00
_symmetry_space_group_name_H-M 'C 1 2/m 1'
_symmetry_Int_Tables_number 12
loop_
_symmetry_equiv_pos_as_xyz
'x,y,z'
'-x,-y,-z'
'-x,y,-z'
'x,-y,z'
'x+1/2,y+1/2,z'
'-x+1/2,-y+1/2,-z'
'-x+1/2,y+1/2,-z'
'x+1/2,-y+1/2,z'
loop_
_atom_site_label
_atom_site_type_symbol
_atom_site_fract_x
_atom_site_fract_y
_atom_site_fract_z
_atom_site_occupancy
Rb1 Rb 0.047 0.000 0.337 1
Rb2 Rb 0.163 0.500 0.779 1
Hg1 Hg 0.188 0.500 0.270 1
S1 S 0.070 0.500 0.337 1
S2 S 0.186 0.000 0.779 1
```

No. 7
Compound: Li4SiPbAu2
Source: the Open Quantum Materials Database
Functional: GGA-PBE
Structure: optimized geometry

calculated density	8.437	Mg/m³
uncorrected energy	-3.3496	eV per atom

```
data_Li4SiPbAu2
_chemical_formula_sum 'Li4 Si1 Pb1 Au2'
_cell_length_a 4.387
_cell_length_b 4.387
_cell_length_c 6.719
_cell_angle_alpha 90.00
_cell_angle_beta 90.00
_cell_angle_gamma 90.00
_symmetry_space_group_name_H-M 'P -4 m 2'
_symmetry_Int_Tables_number 115
loop_
_symmetry_equiv_pos_as_xyz
'x,y,z'
'y,-x,-z'
'-x,-y,z'
'-y,x,-z'
'-x,y,z'
'-y,-x,-z'
'x,-y,z'
'y,x,-z'
loop_
_atom_site_label
_atom_site_type_symbol
_atom_site_fract_x
_atom_site_fract_y
_atom_site_fract_z
_atom_site_occupancy
Li1 Li 0.000 0.000 0.000 1
Li2 Li 0.000 0.500 0.718 1
Li3 Li 0.500 0.500 0.500 1
Si1 Si 0.000 0.000 0.500 1
Pb1 Pb 0.500 0.500 0.000 1
Au1 Au 0.000 0.500 0.295 1
```

No. 8
Compound: RbSmNiTe3
Source: the Open Quantum Materials Database
Functional: GGA-PBE
Structure: optimized geometry

magnetic moment	0.0	μB/f.u.
calculated density	5.876	Mg/m³
uncorrected energy	-4.3081	eV per atom

```
data_RbSmNiTe3
_chemical_formula_sum 'Rb4 Sm4 Ni4 Te12'
_cell_length_a 12.030
_cell_length_b 4.590
_cell_length_c 13.865
_cell_angle_alpha 90.00
_cell_angle_beta 90.00
_cell_angle_gamma 90.00
_symmetry_space_group_name_H-M 'P n m a'
_symmetry_Int_Tables_number 62
loop_
_symmetry_equiv_pos_as_xyz
'x,y,z'
'-x,-y,-z'
'-x+1/2,-y,z+1/2'
'x+1/2,y,-z+1/2'
'x+1/2,-y+1/2,-z+1/2'
'-x+1/2,y+1/2,z+1/2'
'-x,y+1/2,-z'
'x,-y+1/2,z'
loop_
_atom_site_label
_atom_site_type_symbol
_atom_site_fract_x
_atom_site_fract_y
_atom_site_fract_z
_atom_site_occupancy
Rb1 Rb 0.161 0.250 0.001 1
Sm1 Sm 0.003 0.250 0.337 1
Ni1 Ni 0.231 0.250 0.710 1
Te1 Te 0.056 0.750 0.188 1
Te2 Te 0.120 0.250 0.550 1
Te3 Te 0.223 0.750 0.788 1
```